Computed, not measured: a relaxed structure of Sr2CaY at the PBE-GGA level of DFT.

Values from the calculation:
ΔE_f (kJ/mol of formula units): 55

Unit cell a=3.826 b=3.826 c=12.649 alpha=90.00 beta=90.00 gamma=110.24
Element x y z (fractional)
Sr1 0.000 0.000 0.011
Y1 0.500 0.500 0.250
Ca1 0.500 0.500 0.750
Sr2 0.000 0.000 0.489